Record 1
The following is a DFT calculation (SCAN) of ReSi3Tc at its PBEsol-relaxed geometry.

For the total energy, the calculation gives -26.106 eV/atom. The value obtained for the formation energy from raw total energies is 5.68 eV per formula unit. The value obtained for the density of states at the Fermi level is 2.48 states/eV/f.u. The calculation puts the volume at 19.41 A^3/atom.

It has space group Pm-3m (No. 221), with a = 4.595 Å, b = 4.595 Å, c = 4.595 Å, α = 90.00°, β = 90.00° and γ = 90.00°. Symmetry generates all atoms from Re at (0.000, 0.000, 0.000), Si at (0.000, 0.000, 0.500) and Tc at (0.500, 0.500, 0.500).

---

Record 2
The following is a DFT calculation (SCAN) of Ca2LaPb2 at its PBEsol-relaxed geometry.

Its energy of formation is -0.69 eV/atom. For the total energy, the calculation gives -43.484 eV/atom. The value obtained for the density of states at the Fermi level is 2.84 states/eV/f.u. The calculation puts the volume at 31.12 A^3/atom.

It has space group P4/mbm (No. 127), with a = 9.264 Å, b = 9.264 Å, c = 3.627 Å, α = 90.00°, β = 90.00° and γ = 90.00°. Symmetry generates all atoms from Ca at (0.131, 0.369, 0.000), La at (0.000, 0.000, 0.500) and Pb at (0.170, 0.670, 0.500).

---

Record 3
The following is a DFT calculation (SCAN) of ScCuMo at its PBEsol-relaxed geometry.

Its energy of formation is 0.41 eV/atom. For the total energy, the calculation gives -21.027 eV/atom. The value obtained for the density of states at the Fermi level is 2.50 states/eV/f.u. The calculation puts the volume at 15.87 A^3/atom.

It has space group P3m1 (No. 156), with a = 2.8271 Å, b = 2.8271 Å, c = 6.8793 Å, α = 90.00°, β = 90.00° and γ = 120.00°. Symmetry generates all atoms from Sc at (0.0000, 0.0000, 0.0000), Cu at (0.3333, 0.6667, 0.6682) and Mo at (0.6667, 0.3333, 0.3560).

---

Record 4
The following is a DFT calculation (SCAN) of Rh2O3 at its PBEsol-relaxed geometry.

For the total energy, the calculation gives -18.222 eV/atom. The value obtained for the formation energy from raw total energies is -4.87 eV per formula unit. The calculation puts the volume at 9.97 A^3/atom.

It has space group Pbcn (No. 60), with a = 7.226 Å, b = 5.164 Å, c = 5.345 Å, α = 90.00°, β = 90.00° and γ = 90.00°. Symmetry generates all atoms from Rh at (0.107, 0.250, 0.031), O at (0.000, 0.050, 0.750) and O at (0.151, 0.393, 0.388).